[1]
A relaxed structure of LiLuGePb. Source: Alexandria, functional PBE.

Values from the calculation:
* ΔH_f (0 K): -274.6 meV per atom
* SG: F-43m

Cell and atoms, written as CIF:
```
data_LiLuGePb
_chemical_formula_sum 'Li1 Lu1 Ge1 Pb1'
_symmetry_space_group_name_H-M 'P 1'
_symmetry_Int_Tables_number 1
_symmetry_space_group_name_Hall 'P 1'
_cell_length_a 5.051
_cell_length_b 5.051
_cell_length_c 5.051
_cell_angle_alpha 60.00
_cell_angle_beta 60.00
_cell_angle_gamma 60.00
loop_
_atom_site_label
_atom_site_type_symbol
_atom_site_fract_x
_atom_site_fract_y
_atom_site_fract_z
Pb1 Pb 0.750 0.750 0.750
Lu1 Lu 0.000 0.000 0.000
Li1 Li 0.500 0.500 0.500
Ge1 Ge 0.250 0.250 0.250
```

***

[2]
A relaxed structure of NaAlTcC2. Source: Alexandria, functional PBE.

Values from the calculation:
* ΔH_f (0 K): 3136.6 meV per atom
* SG: P4/mmm

Cell and atoms, written as CIF:
```
data_NaAlTcC2
_chemical_formula_sum 'Na1 Al1 Tc1 C2'
_symmetry_space_group_name_H-M 'P 1'
_symmetry_Int_Tables_number 1
_symmetry_space_group_name_Hall 'P 1'
_cell_length_a 4.027
_cell_length_b 4.821
_cell_length_c 4.027
_cell_angle_alpha 90.00
_cell_angle_beta 90.00
_cell_angle_gamma 90.00
loop_
_atom_site_label
_atom_site_type_symbol
_atom_site_fract_x
_atom_site_fract_y
_atom_site_fract_z
C1 C 0.000 0.000 0.500
C2 C 0.500 0.000 0.000
Tc1 Tc 0.000 0.500 0.000
Na1 Na 0.000 0.000 0.000
Al1 Al 0.500 0.500 0.500
```

***

[3]
A relaxed structure of Cs2LaScF. Source: Alexandria, functional PBE.

Values from the calculation:
* energy relative to the elements, uncorrected: 0.231 eV per atom
* SG: P4/mmm

Cell and atoms, written as CIF:
```
data_Cs2LaScF
_chemical_formula_sum 'Cs2 La1 Sc1 F1'
_symmetry_space_group_name_H-M 'P 1'
_symmetry_Int_Tables_number 1
_symmetry_space_group_name_Hall 'P 1'
_cell_length_a 7.460
_cell_length_b 5.558
_cell_length_c 7.460
_cell_angle_alpha 90.00
_cell_angle_beta 90.00
_cell_angle_gamma 90.00
loop_
_atom_site_label
_atom_site_type_symbol
_atom_site_fract_x
_atom_site_fract_y
_atom_site_fract_z
F1 F 0.500 0.500 0.500
Cs1 Cs 0.500 0.000 0.000
Cs2 Cs 0.000 0.000 0.500
La1 La 0.000 0.500 0.000
Sc1 Sc 0.000 0.000 0.000
```

***

[4]
A relaxed structure of Tb3Tm4Cd4. Source: Alexandria, functional PBE.

Values from the calculation:
* ΔH_f (0 K): -103.0 meV per atom
* SG: Immm

Cell and atoms, written as CIF:
```
data_Tb3Tm4Cd4
_chemical_formula_sum 'Tb3 Tm4 Cd4'
_symmetry_space_group_name_H-M 'P 1'
_symmetry_Int_Tables_number 1
_symmetry_space_group_name_Hall 'P 1'
_cell_length_a 5.278
_cell_length_b 7.002
_cell_length_c 9.498
_cell_angle_alpha 111.63
_cell_angle_beta 106.13
_cell_angle_gamma 90.00
loop_
_atom_site_label
_atom_site_type_symbol
_atom_site_fract_x
_atom_site_fract_y
_atom_site_fract_z
Cd1 Cd 0.500 0.207 0.000
Cd2 Cd 0.179 0.679 0.357
Cd3 Cd 0.500 0.793 0.000
Cd4 Cd 0.821 0.321 0.643
Tb1 Tb 0.895 0.895 0.790
Tb2 Tb 0.105 0.105 0.210
Tb3 Tb 0.000 0.500 0.000
Tm1 Tm 0.682 0.919 0.364
Tm2 Tm 0.318 0.081 0.636
Tm3 Tm 0.318 0.555 0.636
Tm4 Tm 0.682 0.445 0.364
```

***

[5]
A relaxed structure of In2SnF. Source: Alexandria, functional PBE.

Values from the calculation:
* energy relative to the elements, uncorrected: -0.693 eV per atom
* SG: R3m
* distance to the lowest polymorph of the same formula: 0.0000 eV/atom

Cell and atoms, written as CIF:
```
data_In2SnF
_chemical_formula_sum 'In2 Sn1 F1'
_symmetry_space_group_name_H-M 'P 1'
_symmetry_Int_Tables_number 1
_symmetry_space_group_name_Hall 'P 1'
_cell_length_a 3.379
_cell_length_b 3.379
_cell_length_c 10.189
_cell_angle_alpha 80.45
_cell_angle_beta 80.45
_cell_angle_gamma 60.00
loop_
_atom_site_label
_atom_site_type_symbol
_atom_site_fract_x
_atom_site_fract_y
_atom_site_fract_z
In1 In 0.065 0.065 0.806
In2 In 0.256 0.256 0.233
Sn1 Sn 0.496 0.496 0.512
F1 F 0.684 0.684 0.949
```

***

[6]
A relaxed structure of YMgZr2. Source: Alexandria, functional PBE.

Values from the calculation:
* ΔH_f (0 K): 101.7 meV per atom
* SG: I4/mmm

Cell and atoms, written as CIF:
```
data_YMgZr2
_chemical_formula_sum 'Y1 Mg1 Zr2'
_symmetry_space_group_name_H-M 'P 1'
_symmetry_Int_Tables_number 1
_symmetry_space_group_name_Hall 'P 1'
_cell_length_a 5.752
_cell_length_b 5.752
_cell_length_c 5.752
_cell_angle_alpha 133.66
_cell_angle_beta 133.66
_cell_angle_gamma 67.62
loop_
_atom_site_label
_atom_site_type_symbol
_atom_site_fract_x
_atom_site_fract_y
_atom_site_fract_z
Zr1 Zr 0.000 0.000 0.000
Zr2 Zr 0.500 0.500 0.000
Mg1 Mg 0.250 0.750 0.500
Y1 Y 0.750 0.250 0.500
```

***

[7]
A relaxed structure of Ti2InSb. Source: Alexandria, functional PBE.

Values from the calculation:
* energy relative to the elements, uncorrected: 0.269 eV per atom
* SG: I-42d
* distance to the lowest polymorph of the same formula: 0.4079 eV/atom

Cell and atoms, written as CIF:
```
data_Ti2InSb
_chemical_formula_sum 'Ti4 In2 Sb2'
_symmetry_space_group_name_H-M 'P 1'
_symmetry_Int_Tables_number 1
_symmetry_space_group_name_Hall 'P 1'
_cell_length_a 4.234
_cell_length_b 4.234
_cell_length_c 10.488
_cell_angle_alpha 78.36
_cell_angle_beta 78.36
_cell_angle_gamma 90.00
loop_
_atom_site_label
_atom_site_type_symbol
_atom_site_fract_x
_atom_site_fract_y
_atom_site_fract_z
In1 In 0.250 0.750 0.500
In2 In 0.500 0.500 0.000
Sb1 Sb 0.000 0.000 0.000
Sb2 Sb 0.750 0.250 0.500
Ti1 Ti 0.375 0.366 0.750
Ti2 Ti 0.116 0.625 0.250
Ti3 Ti 0.875 0.884 0.750
Ti4 Ti 0.634 0.125 0.250
```

***

[8]
A relaxed structure of Ba2NaPuO4. Source: Alexandria, functional PBE.

Values from the calculation:
* energy relative to the elements, uncorrected: -2.324 eV per atom
* SG: P2/m

Cell and atoms, written as CIF:
```
data_Ba2NaPuO4
_chemical_formula_sum 'Ba2 Na1 Pu1 O4'
_symmetry_space_group_name_H-M 'P 1'
_symmetry_Int_Tables_number 1
_symmetry_space_group_name_Hall 'P 1'
_cell_length_a 3.740
_cell_length_b 6.294
_cell_length_c 6.448
_cell_angle_alpha 108.22
_cell_angle_beta 90.00
_cell_angle_gamma 90.00
loop_
_atom_site_label
_atom_site_type_symbol
_atom_site_fract_x
_atom_site_fract_y
_atom_site_fract_z
Pu1 Pu 0.000 0.000 0.000
O1 O 0.500 0.219 0.208
O2 O 0.000 0.778 0.217
O3 O 0.500 0.781 0.792
O4 O 0.000 0.222 0.783
Na1 Na 0.500 0.500 0.000
Ba1 Ba 0.000 0.500 0.500
Ba2 Ba 0.500 0.000 0.500
```

***

[9]
A relaxed structure of Nd3NiRh. Source: Alexandria, functional PBE.

Values from the calculation:
* ΔH_f (0 K): -380.7 meV per atom
* SG: P2_1/c
* distance to the lowest polymorph of the same formula: 0.0178 eV/atom

Cell and atoms, written as CIF:
```
data_Nd3NiRh
_chemical_formula_sum 'Nd12 Ni4 Rh4'
_symmetry_space_group_name_H-M 'P 1'
_symmetry_Int_Tables_number 1
_symmetry_space_group_name_Hall 'P 1'
_cell_length_a 6.954
_cell_length_b 7.311
_cell_length_c 10.123
_cell_angle_alpha 99.09
_cell_angle_beta 90.00
_cell_angle_gamma 90.00
loop_
_atom_site_label
_atom_site_type_symbol
_atom_site_fract_x
_atom_site_fract_y
_atom_site_fract_z
Rh1 Rh 0.799 0.502 0.820
Rh2 Rh 0.299 0.998 0.680
Rh3 Rh 0.701 0.002 0.320
Rh4 Rh 0.201 0.498 0.180
Nd1 Nd 0.331 0.145 0.231
Nd2 Nd 0.831 0.355 0.269
Nd3 Nd 0.506 0.266 0.563
Nd4 Nd 0.512 0.709 0.083
Nd5 Nd 0.494 0.734 0.437
Nd6 Nd 0.669 0.855 0.769
Nd7 Nd 0.488 0.291 0.917
Nd8 Nd 0.994 0.766 0.063
Nd9 Nd 0.169 0.645 0.731
Nd10 Nd 0.012 0.791 0.417
Nd11 Nd 0.006 0.234 0.937
Nd12 Nd 0.988 0.209 0.583
Ni1 Ni 0.689 0.052 0.057
Ni2 Ni 0.311 0.948 0.943
Ni3 Ni 0.811 0.552 0.557
Ni4 Ni 0.189 0.448 0.443
```

***

[10]
A relaxed structure of NaBi2Pt. Source: Alexandria, functional PBE.

Values from the calculation:
* ΔH_f (0 K): -274.1 meV per atom
* SG: R-3m
* distance to the lowest polymorph of the same formula: 0.0425 eV/atom

Cell and atoms, written as CIF:
```
data_NaBi2Pt
_chemical_formula_sum 'Na1 Bi2 Pt1'
_symmetry_space_group_name_H-M 'P 1'
_symmetry_Int_Tables_number 1
_symmetry_space_group_name_Hall 'P 1'
_cell_length_a 4.328
_cell_length_b 4.328
_cell_length_c 7.601
_cell_angle_alpha 73.46
_cell_angle_beta 73.46
_cell_angle_gamma 60.00
loop_
_atom_site_label
_atom_site_type_symbol
_atom_site_fract_x
_atom_site_fract_y
_atom_site_fract_z
Na1 Na 0.500 0.500 0.500
Pt1 Pt 0.000 0.000 0.000
Bi1 Bi 0.274 0.274 0.178
Bi2 Bi 0.726 0.726 0.822
```

***

[11]
A relaxed structure of CuAg6S4. Source: Alexandria, functional PBE.

Values from the calculation:
* energy relative to the elements, uncorrected: 0.017 eV per atom
* SG: C2

Cell and atoms, written as CIF:
```
data_CuAg6S4
_chemical_formula_sum 'Cu1 Ag6 S4'
_symmetry_space_group_name_H-M 'P 1'
_symmetry_Int_Tables_number 1
_symmetry_space_group_name_Hall 'P 1'
_cell_length_a 7.543
_cell_length_b 7.543
_cell_length_c 7.330
_cell_angle_alpha 68.97
_cell_angle_beta 138.02
_cell_angle_gamma 128.78
loop_
_atom_site_label
_atom_site_type_symbol
_atom_site_fract_x
_atom_site_fract_y
_atom_site_fract_z
S1 S 0.959 0.599 0.087
S2 S 0.512 0.872 0.913
S3 S 0.997 0.058 0.694
S4 S 0.364 0.303 0.306
Cu1 Cu 0.919 0.919 0.000
Ag1 Ag 0.477 0.477 0.000
Ag2 Ag 0.975 0.538 0.757
Ag3 Ag 0.030 0.916 0.453
Ag4 Ag 0.523 0.023 0.500
Ag5 Ag 0.463 0.577 0.547
Ag6 Ag 0.781 0.218 0.243
```

***

[12]
A relaxed structure of La2PmEr8. Source: Alexandria, functional PBE.

Values from the calculation:
* ΔH_f (0 K): 121.7 meV per atom
* SG: Immm
* distance to the lowest polymorph of the same formula: 0.0883 eV/atom

Cell and atoms, written as CIF:
```
data_La2PmEr8
_chemical_formula_sum 'La2 Pm1 Er8'
_symmetry_space_group_name_H-M 'P 1'
_symmetry_Int_Tables_number 1
_symmetry_space_group_name_Hall 'P 1'
_cell_length_a 5.524
_cell_length_b 8.109
_cell_length_c 9.402
_cell_angle_alpha 115.52
_cell_angle_beta 107.08
_cell_angle_gamma 90.00
loop_
_atom_site_label
_atom_site_type_symbol
_atom_site_fract_x
_atom_site_fract_y
_atom_site_fract_z
Er1 Er 0.364 0.571 0.728
Er2 Er 0.840 0.840 0.681
Er3 Er 0.636 0.429 0.272
Er4 Er 0.000 0.708 0.000
Er5 Er 0.000 0.292 0.000
Er6 Er 0.636 0.844 0.273
Er7 Er 0.160 0.160 0.319
Er8 Er 0.364 0.156 0.727
La1 La 0.201 0.701 0.402
La2 La 0.799 0.299 0.598
Pm1 Pm 0.500 0.000 0.000
```

***

Number 1: ρ 8.41 Mg/m³. Number 2: ρ 3.65 Mg/m³. Number 3: ρ 2.52 Mg/m³. Number 4: ρ 8.54 Mg/m³. Number 5: ρ 6.17 Mg/m³. Number 6: ρ 5.02 Mg/m³. Number 7: ρ 6.13 Mg/m³. Number 8: ρ 6.97 Mg/m³. Number 9: ρ 7.77 Mg/m³. Number 10: ρ 9.07 Mg/m³. Number 11: ρ 6.55 Mg/m³. Number 12: ρ 8.14 Mg/m³.